# 1
Material: LaZn6Au6
Method: DFT, GGA-PBE
State: relaxed

Structure (CIF):
```
data_LaZn6Au6
_chemical_formula_sum 'La2 Zn12 Au12'
_cell_length_a 5.274
_cell_length_b 9.146
_cell_length_c 9.586
_cell_angle_alpha 90.00
_cell_angle_beta 90.00
_cell_angle_gamma 90.00
_space_group_name_H-M_alt 'I m m m'
_space_group_IT_number 71
_space_group_name_Hall '-I 2 2'
loop_
_atom_site_label
_atom_site_fract_x
_atom_site_fract_y
_atom_site_fract_z
La1 0.000 0.000 0.000
Zn1 0.000 0.259 0.500
Zn2 0.250 0.250 0.250
Au1 0.000 0.000 0.344
Au2 0.000 0.339 0.000
Au3 0.000 0.500 0.317
```

Results
Energy of formation ... -0.363 eV per atom
Spin magnetization ... 0.00 μB/cell
Energy ... -73.91 eV for the cell shown


# 2
Material: LaZnAu2
Method: DFT, GGA-PBE
State: relaxed

Structure (CIF):
```
data_LaZnAu2
_chemical_formula_sum 'La1 Zn1 Au2'
_cell_length_a 3.680
_cell_length_b 3.680
_cell_length_c 6.592
_cell_angle_alpha 90.00
_cell_angle_beta 90.00
_cell_angle_gamma 90.00
_space_group_name_H-M_alt 'P 4 m m'
_space_group_IT_number 99
loop_
_space_group_symop_operation_xyz
'x,y,z'
'-y,x,z'
'-x,-y,z'
'y,-x,z'
'-x,y,z'
'y,x,z'
'x,-y,z'
'-y,-x,z'
loop_
_atom_site_label
_atom_site_fract_x
_atom_site_fract_y
_atom_site_fract_z
La1 0.000 0.000 0.000
Zn1 0.500 0.500 0.327
Au1 0.000 0.000 0.484
Au2 0.500 0.500 0.737
```

Results
Energy of formation ... -0.438 eV per atom
Spin magnetization ... 0.00 μB/cell
Energy ... -14.51 eV for the cell shown


# 3
Material: LaZn2Au2
Method: DFT, GGA-PBE
State: relaxed

Structure (CIF):
```
data_LaZn2Au2
_chemical_formula_sum 'La2 Zn4 Au4'
_cell_length_a 4.352
_cell_length_b 4.352
_cell_length_c 11.196
_cell_angle_alpha 90.00
_cell_angle_beta 90.00
_cell_angle_gamma 90.00
_space_group_name_H-M_alt 'P 4/n m m'
_space_group_IT_number 129
loop_
_space_group_symop_operation_xyz
'x,y,z'
'-x,-y,-z'
'-y+1/2,x,z'
'y+1/2,-x,-z'
'-x+1/2,-y+1/2,z'
'x+1/2,y+1/2,-z'
'y,-x+1/2,z'
'-y,x+1/2,-z'
'x+1/2,-y,-z'
'-x+1/2,y,z'
'-y,-x,-z'
'y,x,z'
'-x,y+1/2,-z'
'x,-y+1/2,z'
'y+1/2,x+1/2,-z'
'-y+1/2,-x+1/2,z'
loop_
_atom_site_label
_atom_site_fract_x
_atom_site_fract_y
_atom_site_fract_z
La1 0.250 0.250 0.247
Zn1 0.250 0.250 0.633
Zn2 0.250 0.750 0.000
Au1 0.250 0.250 0.863
Au2 0.250 0.750 0.500
```

Results
Energy of formation ... -0.550 eV per atom
Energy above the lowest structure with this stoichiometry ... 0.015 eV per atom
Spin magnetization ... 0.00 μB/cell
Energy ... -33.56 eV for the cell shown


# 4
Material: LaZn2Au2
Method: DFT, GGA-PBE
State: relaxed

Structure (CIF):
```
data_LaZn2Au2
_chemical_formula_sum 'La2 Zn4 Au4'
_cell_length_a 4.194
_cell_length_b 4.194
_cell_length_c 12.174
_cell_angle_alpha 90.00
_cell_angle_beta 90.00
_cell_angle_gamma 90.00
_space_group_name_H-M_alt 'I 4/m m m'
_space_group_IT_number 139
_space_group_name_Hall '-I 4 2'
loop_
_atom_site_label
_atom_site_fract_x
_atom_site_fract_y
_atom_site_fract_z
La1 0.000 0.000 0.000
Zn1 0.000 0.500 0.250
Au1 0.000 0.000 0.385
```

Results
Energy of formation ... -0.565 eV per atom
Energy above the lowest structure with this stoichiometry ... 0.000 eV per atom
Spin magnetization ... 0.00 μB/cell
Energy ... -33.71 eV for the cell shown


# 5
Material: La3Zn6Au5
Method: DFT, GGA-PBE
State: relaxed

Structure (CIF):
```
data_La3Zn6Au5
_chemical_formula_sum 'La6 Zn12 Au10'
_cell_length_a 4.562
_cell_length_b 13.285
_cell_length_c 9.546
_cell_angle_alpha 90.00
_cell_angle_beta 90.00
_cell_angle_gamma 90.00
_space_group_name_H-M_alt 'P m m n'
_space_group_IT_number 59
loop_
_space_group_symop_operation_xyz
'x,y,z'
'-x,-y,-z'
'-x+1/2,-y+1/2,z'
'x+1/2,y+1/2,-z'
'x+1/2,-y,-z'
'-x+1/2,y,z'
'-x,y+1/2,-z'
'x,-y+1/2,z'
loop_
_atom_site_label
_atom_site_fract_x
_atom_site_fract_y
_atom_site_fract_z
La1 0.250 0.053 0.248
La2 0.250 0.750 0.250
Zn1 0.250 0.079 0.904
Zn2 0.250 0.250 0.052
Zn3 0.250 0.250 0.452
Zn4 0.250 0.603 0.524
Au1 0.250 0.093 0.625
Au2 0.250 0.627 0.967
Au3 0.250 0.750 0.715
```

Results
Energy of formation ... -0.573 eV per atom
Spin magnetization ... 0.00 μB/cell
Energy ... -93.67 eV for the cell shown


# 6
Material: LaZn3Au2
Method: DFT, GGA-PBE
State: relaxed

Structure (CIF):
```
data_LaZn3Au2
_chemical_formula_sum 'La4 Zn12 Au8'
_cell_length_a 16.516
_cell_length_b 4.310
_cell_length_c 7.738
_cell_angle_alpha 90.00
_cell_angle_beta 116.65
_cell_angle_gamma 90.00
_space_group_name_H-M_alt 'C 1 2/m 1'
_space_group_IT_number 12
loop_
_space_group_symop_operation_xyz
'x,y,z'
'-x,-y,-z'
'-x,y,-z'
'x,-y,z'
'x+1/2,y+1/2,z'
'-x+1/2,-y+1/2,-z'
'-x+1/2,y+1/2,-z'
'x+1/2,-y+1/2,z'
loop_
_atom_site_label
_atom_site_fract_x
_atom_site_fract_y
_atom_site_fract_z
La1 0.142 0.000 0.057
Zn1 0.043 0.000 0.394
Zn2 0.098 0.500 0.673
Zn3 0.191 0.500 0.463
Au1 0.022 0.500 0.192
Au2 0.204 0.000 0.713
```

Results
Energy of formation ... -0.455 eV per atom
Spin magnetization ... 0.00 μB/cell
Energy ... -72.15 eV for the cell shown


# 7
Material: LaZrAu
Method: DFT, GGA-PBE
State: relaxed

Structure (CIF):
```
data_LaZrAu
_chemical_formula_sum 'La2 Zr2 Au2'
_cell_length_a 4.603
_cell_length_b 4.603
_cell_length_c 7.528
_cell_angle_alpha 90.00
_cell_angle_beta 90.00
_cell_angle_gamma 90.00
_space_group_name_H-M_alt 'P 4/n m m'
_space_group_IT_number 129
loop_
_space_group_symop_operation_xyz
'x,y,z'
'-x,-y,-z'
'-y+1/2,x,z'
'y+1/2,-x,-z'
'-x+1/2,-y+1/2,z'
'x+1/2,y+1/2,-z'
'y,-x+1/2,z'
'-y,x+1/2,-z'
'x+1/2,-y,-z'
'-x+1/2,y,z'
'-y,-x,-z'
'y,x,z'
'-x,y+1/2,-z'
'x,-y+1/2,z'
'y+1/2,x+1/2,-z'
'-y+1/2,-x+1/2,z'
loop_
_atom_site_label
_atom_site_fract_x
_atom_site_fract_y
_atom_site_fract_z
La1 0.250 0.250 0.133
Zr1 0.250 0.750 0.500
Au1 0.250 0.250 0.737
```

Results
Energy of formation ... -0.429 eV per atom
Spin magnetization ... 0.00 μB/cell
Energy ... -36.08 eV for the cell shown


# 8
Material: LaZrAu
Method: DFT, GGA-PBE
State: relaxed

Structure (CIF):
```
data_LaZrAu
_chemical_formula_sum 'La1 Zr1 Au1'
_cell_length_a 3.5538
_cell_length_b 3.5538
_cell_length_c 7.2013
_cell_angle_alpha 90.00
_cell_angle_beta 90.00
_cell_angle_gamma 120.00
_space_group_name_H-M_alt 'P 3 m 1'
_space_group_IT_number 156
loop_
_space_group_symop_operation_xyz
'x,y,z'
'-y,x-y,z'
'-x+y,-x,z'
'-y,-x,z'
'-x+y,y,z'
'x,x-y,z'
loop_
_atom_site_label
_atom_site_fract_x
_atom_site_fract_y
_atom_site_fract_z
La1 0.0000 0.0000 0.0000
Zr1 0.6667 0.3333 0.3751
Au1 0.3333 0.6667 0.6545
```

Results
Energy of formation ... -0.153 eV per atom
Spin magnetization ... 0.00 μB/cell
Energy ... -17.21 eV for the cell shown


# 9
Material: LaZr3Au
Method: DFT, GGA-PBE
State: relaxed

Structure (CIF):
```
data_LaZr3Au
_chemical_formula_sum 'La1 Zr3 Au1'
_cell_length_a 5.275
_cell_length_b 5.275
_cell_length_c 5.275
_cell_angle_alpha 90.00
_cell_angle_beta 90.00
_cell_angle_gamma 90.00
_space_group_name_H-M_alt 'P m -3 m'
_space_group_IT_number 221
_space_group_name_Hall '-P 4 2 3'
loop_
_atom_site_label
_atom_site_fract_x
_atom_site_fract_y
_atom_site_fract_z
La1 0.000 0.000 0.000
Zr1 0.000 0.500 0.500
Au1 0.500 0.500 0.500
```

Results
Energy of formation ... 0.390 eV per atom
Energy above the lowest structure with this stoichiometry ... 0.000 eV per atom
Spin magnetization ... 0.00 μB/cell
Energy ... -31.90 eV for the cell shown


# 10
Material: LaZrAu
Method: DFT, GGA-PBE
State: relaxed

Structure (CIF):
```
data_LaZrAu
_chemical_formula_sum 'La4 Zr4 Au4'
_cell_length_a 4.904
_cell_length_b 8.525
_cell_length_c 7.421
_cell_angle_alpha 90.00
_cell_angle_beta 90.00
_cell_angle_gamma 90.00
_space_group_name_H-M_alt 'C m c m'
_space_group_IT_number 63
_space_group_name_Hall '-C 2c 2'
loop_
_atom_site_label
_atom_site_fract_x
_atom_site_fract_y
_atom_site_fract_z
La1 0.000 0.000 0.000
Zr1 0.000 0.332 0.250
Au1 0.000 0.334 0.750
```

Results
Energy of formation ... -0.219 eV per atom
Spin magnetization ... 0.00 μB/cell
Energy ... -69.64 eV for the cell shown


# 11
Material: LaZrAu
Method: DFT, GGA-PBE
State: relaxed

Structure (CIF):
```
data_LaZrAu
_chemical_formula_sum 'La2 Zr2 Au2'
_cell_length_a 3.526
_cell_length_b 3.526
_cell_length_c 12.437
_cell_angle_alpha 90.00
_cell_angle_beta 90.00
_cell_angle_gamma 90.00
_space_group_name_H-M_alt 'I 4 m m'
_space_group_IT_number 107
_space_group_name_Hall 'I 4 -2'
loop_
_atom_site_label
_atom_site_fract_x
_atom_site_fract_y
_atom_site_fract_z
La1 0.000 0.000 0.000
Zr1 0.000 0.000 0.305
Au1 0.000 0.000 0.689
```

Results
Energy of formation ... -0.354 eV per atom
Spin magnetization ... 0.00 μB/cell
Energy ... -35.63 eV for the cell shown


# 12
Material: LaZrAu2
Method: DFT, GGA-PBE
State: relaxed

Structure (CIF):
```
data_LaZrAu2
_chemical_formula_sum 'La2 Zr2 Au4'
_cell_length_a 8.278
_cell_length_b 4.778
_cell_length_c 5.784
_cell_angle_alpha 90.00
_cell_angle_beta 118.37
_cell_angle_gamma 90.00
_space_group_name_H-M_alt 'C 1 2/m 1'
_space_group_IT_number 12
loop_
_space_group_symop_operation_xyz
'x,y,z'
'-x,-y,-z'
'-x,y,-z'
'x,-y,z'
'x+1/2,y+1/2,z'
'-x+1/2,-y+1/2,-z'
'-x+1/2,y+1/2,-z'
'x+1/2,-y+1/2,z'
loop_
_atom_site_label
_atom_site_fract_x
_atom_site_fract_y
_atom_site_fract_z
La1 0.000 0.000 0.000
Zr1 0.000 0.500 0.500
Au1 0.213 0.000 0.640
```

Results
Energy of formation ... -0.550 eV per atom
Spin magnetization ... 0.00 μB/cell
Energy ... -44.46 eV for the cell shown


# 13
Material: LaZrAu
Method: DFT, GGA-PBE
State: relaxed

Structure (CIF):
```
data_LaZrAu
_chemical_formula_sum 'La2 Zr2 Au2'
_cell_length_a 3.435
_cell_length_b 6.476
_cell_length_c 7.503
_cell_angle_alpha 109.18
_cell_angle_beta 90.03
_cell_angle_gamma 105.35
_space_group_name_H-M_alt 'P -1'
_space_group_IT_number 2
loop_
_space_group_symop_operation_xyz
'x,y,z'
'-x,-y,-z'
loop_
_atom_site_label
_atom_site_fract_x
_atom_site_fract_y
_atom_site_fract_z
La1 0.152 0.302 0.100
Zr1 0.149 0.298 0.530
Au1 0.462 0.925 0.271
```

Results
Energy of formation ... -0.357 eV per atom
Spin magnetization ... 0.00 μB/cell
Energy ... -35.65 eV for the cell shown


# 14
Material: LaZrAu2
Method: DFT, GGA-PBE
State: relaxed

Structure (CIF):
```
data_LaZrAu2
_chemical_formula_sum 'La1 Zr1 Au2'
_cell_length_a 3.714
_cell_length_b 3.714
_cell_length_c 6.943
_cell_angle_alpha 90.00
_cell_angle_beta 90.00
_cell_angle_gamma 90.00
_space_group_name_H-M_alt 'P 4 m m'
_space_group_IT_number 99
loop_
_space_group_symop_operation_xyz
'x,y,z'
'-y,x,z'
'-x,-y,z'
'y,-x,z'
'-x,y,z'
'y,x,z'
'x,-y,z'
'-y,-x,z'
loop_
_atom_site_label
_atom_site_fract_x
_atom_site_fract_y
_atom_site_fract_z
La1 0.000 0.000 0.000
Zr1 0.500 0.500 0.334
Au1 0.000 0.000 0.514
Au2 0.500 0.500 0.754
```

Results
Energy of formation ... -0.433 eV per atom
Spin magnetization ... 0.00 μB/cell
Energy ... -21.76 eV for the cell shown


# 15
Material: LaZrAu2
Method: DFT, GGA-PBE
State: relaxed

Structure (CIF):
```
data_LaZrAu2
_chemical_formula_sum 'La2 Zr2 Au4'
_cell_length_a 3.680
_cell_length_b 4.799
_cell_length_c 10.569
_cell_angle_alpha 90.00
_cell_angle_beta 90.00
_cell_angle_gamma 90.00
_space_group_name_H-M_alt 'I m m 2'
_space_group_IT_number 44
loop_
_space_group_symop_operation_xyz
'x,y,z'
'-x,-y,z'
'-x,y,z'
'x,-y,z'
'x+1/2,y+1/2,z+1/2'
'-x+1/2,-y+1/2,z+1/2'
'-x+1/2,y+1/2,z+1/2'
'x+1/2,-y+1/2,z+1/2'
loop_
_atom_site_label
_atom_site_fract_x
_atom_site_fract_y
_atom_site_fract_z
La1 0.000 0.000 0.000
Zr1 0.000 0.500 0.774
Au1 0.000 0.000 0.506
Au2 0.000 0.500 0.228
```

Results
Energy of formation ... -0.400 eV per atom
Spin magnetization ... 0.00 μB/cell
Energy ... -43.26 eV for the cell shown


# 16
Material: LaZrAu
Method: DFT, GGA-PBE
State: relaxed

Structure (CIF):
```
data_LaZrAu
_chemical_formula_sum 'La4 Zr4 Au4'
_cell_length_a 10.160
_cell_length_b 4.867
_cell_length_c 6.673
_cell_angle_alpha 90.00
_cell_angle_beta 103.69
_cell_angle_gamma 90.00
_space_group_name_H-M_alt 'C 1 m 1'
_space_group_IT_number 8
loop_
_space_group_symop_operation_xyz
'x,y,z'
'x,-y,z'
'x+1/2,y+1/2,z'
'x+1/2,-y+1/2,z'
loop_
_atom_site_label
_atom_site_fract_x
_atom_site_fract_y
_atom_site_fract_z
La1 0.000 0.000 0.000
La2 0.234 0.000 0.627
Zr1 0.213 0.500 0.137
Zr2 0.428 0.000 0.267
Au1 0.054 0.500 0.723
Au2 0.422 0.500 0.495
```

Results
Energy of formation ... -0.290 eV per atom
Spin magnetization ... 0.00 μB/cell
Energy ... -70.49 eV for the cell shown


# 17
Material: LaZr2Au2
Method: DFT, GGA-PBE
State: relaxed

Structure (CIF):
```
data_LaZr2Au2
_chemical_formula_sum 'La2 Zr4 Au4'
_cell_length_a 5.266
_cell_length_b 5.266
_cell_length_c 9.387
_cell_angle_alpha 90.00
_cell_angle_beta 90.00
_cell_angle_gamma 90.00
_space_group_name_H-M_alt 'I 4/m m m'
_space_group_IT_number 139
_space_group_name_Hall '-I 4 2'
loop_
_atom_site_label
_atom_site_fract_x
_atom_site_fract_y
_atom_site_fract_z
La1 0.000 0.000 0.000
Zr1 0.000 0.000 0.347
Au1 0.000 0.500 0.250
```

Results
Energy of formation ... -0.203 eV per atom
Energy above the lowest structure with this stoichiometry ... 0.187 eV per atom
Spin magnetization ... 0.00 μB/cell
Energy ... -59.18 eV for the cell shown


# 18
Material: La3ZrAu
Method: DFT, GGA-PBE
State: relaxed

Structure (CIF):
```
data_La3ZrAu
_chemical_formula_sum 'La3 Zr1 Au1'
_cell_length_a 5.750
_cell_length_b 5.750
_cell_length_c 5.750
_cell_angle_alpha 90.00
_cell_angle_beta 90.00
_cell_angle_gamma 90.00
_space_group_name_H-M_alt 'P m -3 m'
_space_group_IT_number 221
_space_group_name_Hall '-P 4 2 3'
loop_
_atom_site_label
_atom_site_fract_x
_atom_site_fract_y
_atom_site_fract_z
La1 0.000 0.000 0.500
Zr1 0.500 0.500 0.500
Au1 0.000 0.000 0.000
```

Results
Energy of formation ... 0.324 eV per atom
Energy above the lowest structure with this stoichiometry ... 0.000 eV per atom
Spin magnetization ... 0.04 μB/cell
Energy ... -24.99 eV for the cell shown


# 19
Material: LaZrAu
Method: DFT, GGA-PBE
State: relaxed

Structure (CIF):
```
data_LaZrAu
_chemical_formula_sum 'La4 Zr4 Au4'
_cell_length_a 9.772
_cell_length_b 5.923
_cell_length_c 7.148
_cell_angle_alpha 90.00
_cell_angle_beta 132.84
_cell_angle_gamma 90.00
_space_group_name_H-M_alt 'C 1 2/m 1'
_space_group_IT_number 12
loop_
_space_group_symop_operation_xyz
'x,y,z'
'-x,-y,-z'
'-x,y,-z'
'x,-y,z'
'x+1/2,y+1/2,z'
'-x+1/2,-y+1/2,-z'
'-x+1/2,y+1/2,-z'
'x+1/2,-y+1/2,z'
loop_
_atom_site_label
_atom_site_fract_x
_atom_site_fract_y
_atom_site_fract_z
La1 0.161 0.000 0.001
Zr1 0.158 0.500 0.316
Au1 0.000 0.250 0.500
```

Results
Energy of formation ... -0.309 eV per atom
Spin magnetization ... 0.00 μB/cell
Energy ... -70.72 eV for the cell shown


# 20
Material: LaZrAu
Method: DFT, GGA-PBE
State: relaxed

Structure (CIF):
```
data_LaZrAu
_chemical_formula_sum 'La2 Zr2 Au2'
_cell_length_a 3.510
_cell_length_b 3.510
_cell_length_c 12.364
_cell_angle_alpha 90.00
_cell_angle_beta 90.00
_cell_angle_gamma 90.00
_space_group_name_H-M_alt 'P 4 m m'
_space_group_IT_number 99
loop_
_space_group_symop_operation_xyz
'x,y,z'
'-y,x,z'
'-x,-y,z'
'y,-x,z'
'-x,y,z'
'y,x,z'
'x,-y,z'
'-y,-x,z'
loop_
_atom_site_label
_atom_site_fract_x
_atom_site_fract_y
_atom_site_fract_z
La1 0.000 0.000 0.000
La2 0.000 0.000 0.333
Zr1 0.000 0.000 0.692
Zr2 0.500 0.500 0.536
Au1 0.500 0.500 0.167
Au2 0.500 0.500 0.817
```

Results
Energy of formation ... -0.418 eV per atom
Spin magnetization ... 0.00 μB/cell
Energy ... -36.02 eV for the cell shown